No. 1
VASP calculation (PBE-GGA) on SrLiCd2 after structural relaxation.

Structure (CIF):
```
data_SrLiCd2
_chemical_formula_sum 'Sr2 Li2 Cd4'
_space_group_name_H-M_alt 'I m m 2'
_space_group_IT_number 44
_space_group_name_Hall 'I 2 -2'
_cell_length_a 5.197
_cell_length_b 5.345
_cell_length_c 7.470
_cell_angle_alpha 90.00
_cell_angle_beta 90.00
_cell_angle_gamma 90.00
loop_
_atom_site_label
_atom_site_type_symbol
_atom_site_fract_x
_atom_site_fract_y
_atom_site_fract_z
Sr1 Sr 0.000 0.000 0.000
Li1 Li 0.000 0.500 0.760
Cd1 Cd 0.000 0.000 0.497
Cd2 Cd 0.000 0.500 0.241
```

Energy above the lowest structure with this stoichiometry (meV/atom): 66.1
Total moment (μB per cell): 0.0
Density of states at the Fermi level (states/eV/cell): 6.90
E_form (eV/f.u.): -0.81

---

No. 2
VASP calculation (PBE-GGA) on PrCdRe2O8 after structural relaxation.

Structure (CIF):
```
data_PrCdRe2O8
_chemical_formula_sum 'Pr1 Cd1 Re2 O8'
_space_group_name_H-M_alt 'P -3 m 1'
_space_group_IT_number 164
_space_group_name_Hall '-P 3 2"'
_cell_length_a 6.4653
_cell_length_b 6.4653
_cell_length_c 7.8640
_cell_angle_alpha 90.00
_cell_angle_beta 90.00
_cell_angle_gamma 120.00
loop_
_atom_site_label
_atom_site_type_symbol
_atom_site_fract_x
_atom_site_fract_y
_atom_site_fract_z
Pr1 Pr 0.0000 0.0000 0.0000
Cd1 Cd 0.0000 0.0000 0.5000
Re1 Re 0.3333 0.6667 0.2334
O1 O 0.1831 0.3663 0.1567
O2 O 0.3333 0.6667 0.4543
```

Raw formation energy (meV per atom): -1780
Total moment (μB per cell): 0.0
Density of states at the Fermi level (states/eV/cell): 5.19

---

No. 3
VASP calculation (PBE-GGA) on La2BeSnRh6 after structural relaxation.

Structure (CIF):
```
data_La2BeSnRh6
_chemical_formula_sum 'La8 Be4 Sn4 Rh24'
_space_group_name_H-M_alt 'F m -3 m'
_space_group_IT_number 225
_space_group_name_Hall '-F 4 2 3'
_cell_length_a 9.173
_cell_length_b 9.173
_cell_length_c 9.173
_cell_angle_alpha 90.00
_cell_angle_beta 90.00
_cell_angle_gamma 90.00
loop_
_atom_site_label
_atom_site_type_symbol
_atom_site_fract_x
_atom_site_fract_y
_atom_site_fract_z
La1 La 0.250 0.250 0.250
Be1 Be 0.000 0.000 0.000
Sn1 Sn 0.000 0.000 0.500
Rh1 Rh 0.000 0.000 0.227
```

Total moment (μB per cell): 0.0
Density of states at the Fermi level (states/eV/cell): 44.76
E_form (eV/f.u.): -3.50

---

No. 4
VASP calculation (PBE-GGA) on Ti2Nb2V after structural relaxation.

Structure (CIF):
```
data_Ti2Nb2V
_chemical_formula_sum 'Ti4 Nb4 V2'
_space_group_name_H-M_alt 'P 4/m b m'
_space_group_IT_number 127
_space_group_name_Hall '-P 4 2ab'
_cell_length_a 7.049
_cell_length_b 7.049
_cell_length_c 3.545
_cell_angle_alpha 90.00
_cell_angle_beta 90.00
_cell_angle_gamma 90.00
loop_
_atom_site_label
_atom_site_type_symbol
_atom_site_fract_x
_atom_site_fract_y
_atom_site_fract_z
Ti1 Ti 0.137 0.363 0.000
Nb1 Nb 0.166 0.666 0.500
V1 V 0.000 0.000 0.000
```

Energy above the lowest structure with this stoichiometry (meV/atom): 0.0
Total moment (μB per cell): 3.3
Density of states at the Fermi level (states/eV/cell): 10.90
E_form (eV/f.u.): 1.43